This record from Alexandria describes an optimized crystal structure of Ta2CrNO5. The functional is PBE+U.

Cell lengths 4.7655, 4.7655, 9.2369 Å; angles 90.23, 90.23, 89.83 degrees
With the nearest neighbours (Å) after each atom.
Positions (direct):
Ta1 0.0000 0.0000 0.0000  1 N 1.90, 4 O 1.99-2.05
Ta2 0.0028 0.0028 0.3293  4 O 1.94-2.13, 2 N 2.02-2.06
Ta3 0.4901 0.4901 0.4863  1 N 1.90, 4 O 2.00-2.05
Ta4 0.5071 0.5071 0.8231  6 O 1.97-2.09
Cr1 0.0142 0.0142 0.6563  1 N 2.03, 5 O 2.04-2.07
Cr2 0.5136 0.5136 0.1554  1 N 2.03, 5 O 2.04-2.07
N1 0.2089 0.2089 0.4891  2 Ta 1.90-2.02, 1 Cr 2.03
N2 0.8143 0.8143 0.1533  2 Ta 1.90-2.06, 1 Cr 2.03
O1 0.2070 0.2070 0.1549  2 Ta 1.99-2.13, 1 Cr 2.07
O2 0.2157 0.2157 0.8215  1 Ta 1.97, 1 Cr 2.04
O3 0.3179 0.7096 0.3246  2 Ta 2.00-2.05, 1 Cr 2.04
O4 0.3178 0.7100 0.9839  2 Ta 1.99-2.05, 1 Cr 2.06
O5 0.3241 0.7098 0.6571  2 Ta 2.01-2.05, 1 Cr 2.07
O6 0.7096 0.3179 0.3246  2 Ta 2.00-2.05, 1 Cr 2.04
O7 0.7100 0.3178 0.9839  2 Ta 1.99-2.05, 1 Cr 2.06
O8 0.7098 0.3241 0.6571  2 Ta 2.01-2.05, 1 Cr 2.07
O9 0.8163 0.8163 0.4879  1 Ta 1.94, 1 Cr 2.04
O10 0.8168 0.8168 0.8260  2 Ta 2.02-2.09, 1 Cr 2.06

Summary:
- Space group: No. 8
- Energy above the lowest structure with this stoichiometry: 0.11 eV per formula unit